1.
## NbPt2Se (PBE)

Data for a relaxed structure of NbPt2Se.

```
NbPt2Se
1.0
-0.562 4.163 4.574
-4.891 -3.110 2.230
0.240 -2.138 6.192
Nb Se Pt
2 2 4
Direct
0.000 0.000 0.000 Nb
0.750 0.250 0.500 Nb
0.500 0.500 0.000 Se
0.250 0.750 0.500 Se
0.625 0.125 0.250 Pt
0.125 0.625 0.250 Pt
0.375 0.375 0.750 Pt
0.875 0.875 0.750 Pt
```

Calculated values
Space-group type: I-42d (122)

2.
## NbPtSe4 (PBE)

Data for a relaxed structure of NbPtSe4.

```
NbPtSe4
1.0
-4.105 3.652 0.285
-3.049 -2.947 -6.161
-1.900 -2.649 6.582
Nb Pt Se
2 2 8
Direct
0.000 0.500 0.500 Nb
0.500 0.000 0.500 Nb
0.500 0.500 0.000 Pt
0.000 0.000 0.000 Pt
0.217 0.813 0.180 Se
0.283 0.313 0.180 Se
0.769 0.681 0.326 Se
0.269 0.819 0.674 Se
0.731 0.181 0.326 Se
0.231 0.319 0.674 Se
0.717 0.687 0.820 Se
0.783 0.187 0.820 Se
```

Calculated values
Space-group type: P2_1/c (14)

3.
## NbPtSe2 (PBE)

Data for a relaxed structure of NbPtSe2.

```
NbPtSe2
1.0
1.921 0.000 8.321
-0.961 1.664 8.321
-0.961 -1.664 8.321
Nb Se Pt
1 2 1
Direct
0.500 0.500 0.500 Nb
0.903 0.903 0.903 Se
0.097 0.097 0.097 Se
0.000 0.000 0.000 Pt
```

Calculated values
Space-group type: R-3m (166)

4.
## NbPtSe2 (PBE)

Data for a relaxed structure of NbPtSe2.

```
NbPtSe2
1.0
5.828 0.000 0.000
0.000 5.828 0.000
2.914 2.914 5.691
Nb Se Pt
2 4 2
Direct
0.500 0.500 0.000 Nb
0.250 0.750 0.500 Nb
0.627 0.125 0.250 Se
0.123 0.625 0.250 Se
0.375 0.373 0.750 Se
0.875 0.877 0.750 Se
0.000 0.000 0.000 Pt
0.750 0.250 0.500 Pt
```

Calculated values
Space-group type: I-42d (122)

5.
## NbPtSe2 (PBE)

Data for a relaxed structure of NbPtSe2.

```
NbPtSe2
1.0
0.000 3.265 3.265
3.265 0.000 3.265
3.265 3.265 0.000
Nb Se Pt
1 2 1
Direct
0.000 0.000 0.000 Nb
0.250 0.250 0.250 Se
0.750 0.750 0.750 Se
0.500 0.500 0.500 Pt
```

Calculated values
Space-group type: Fm-3m (225)

6.
## NbPtSe4 (PBE)

Data for a relaxed structure of NbPtSe4.

```
NbPtSe4
1.0
3.591 0.002 0.000
-1.784 6.640 -1.393
0.000 -0.155 6.105
Nb Pt Se
1 1 4
Direct
0.503 0.005 0.447 Nb
0.997 0.994 0.034 Pt
0.897 0.793 0.619 Se
0.135 0.273 0.411 Se
0.369 0.735 0.096 Se
0.599 0.200 0.892 Se
```

Calculated values
Space-group type: P1 (1)

7.
## NbSnPtSe2 (PBE)

Data for a relaxed structure of NbSnPtSe2.

```
NbSnPtSe2
1.0
4.851 0.000 0.000
0.000 5.688 0.000
0.000 0.000 4.851
Nb Se Sn Pt
1 2 1 1
Direct
0.000 0.000 0.000 Nb
0.000 0.000 0.500 Se
0.500 0.000 0.000 Se
0.000 0.500 0.000 Sn
0.500 0.500 0.500 Pt
```

Calculated values
Space-group type: P4/mmm (123)

8.
## NbTc2PtSe (PBE)

Data for a relaxed structure of NbTc2PtSe.

```
NbTc2PtSe
1.0
4.736 0.000 0.000
0.000 4.779 0.000
0.000 0.000 4.736
Nb Se Tc Pt
1 1 2 1
Direct
0.500 0.500 0.500 Nb
0.000 0.500 0.000 Se
0.000 0.000 0.500 Tc
0.500 0.000 0.000 Tc
0.000 0.000 0.000 Pt
```

Calculated values
Space-group type: P4/mmm (123)

9.
## NbTe2PtSe (PBE)

Data for a relaxed structure of NbTe2PtSe.

```
NbTe2PtSe
1.0
-4.808 2.304 -0.777
-1.277 -1.183 4.394
1.948 4.680 1.826
Nb Te Se Pt
1 2 1 1
Direct
0.000 0.500 0.000 Nb
0.000 0.000 0.500 Te
0.500 0.000 0.000 Te
0.000 0.000 0.000 Se
0.500 0.500 0.500 Pt
```

Calculated values
Space-group type: P4/mmm (123)

10.
## Nb3SiPt (PBE)

Data for a relaxed structure of Nb3SiPt.

```
Nb3SiPt
1.0
4.599 0.000 0.000
0.000 4.599 0.000
0.000 0.000 4.599
Nb Si Pt
3 1 1
Direct
0.000 0.500 0.000 Nb
0.000 0.000 0.500 Nb
0.500 0.000 0.000 Nb
0.000 0.000 0.000 Si
0.500 0.500 0.500 Pt
```

Calculated values
Space-group type: Pm-3m (221)

11.
## NbSiPt3 (PBE)

Data for a relaxed structure of NbSiPt3.

```
NbSiPt3
1.0
-2.714 0.313 -3.593
-2.426 -3.486 1.529
-2.669 2.850 2.264
Nb Si Pt
1 1 3
Direct
0.500 0.500 0.500 Nb
0.000 0.000 0.000 Si
0.000 0.500 0.000 Pt
0.000 0.000 0.500 Pt
0.500 0.000 0.000 Pt
```

Calculated values
Space-group type: Pm-3m (221)

12.
## NbSi2Pt (PBE)

Data for a relaxed structure of NbSi2Pt.

```
NbSi2Pt
1.0
4.131 0.000 0.000
2.065 3.578 0.000
2.065 1.193 4.115
Nb Si Pt
1 2 1
Direct
0.500 0.500 0.500 Nb
0.272 0.272 0.185 Si
0.728 0.728 0.815 Si
0.000 0.000 0.000 Pt
```

Calculated values
Space-group type: R-3m (166)

These records have total moment values of 0.0, 0.0, 0.0, 0.9, 0.0, 0.0, 0.7, 0.1, 0.1, 0.0, 2.2, 0.0 μB per formula unit, in the order they appear.
These records have energy relative to the elements, uncorrected values of 0.12, -0.39, -0.40, -0.11, -0.04, -0.54, 0.50, 1.72, 1.14, 0.53, 0.24, -0.37 eV/atom, in the order they appear.